Entry 1:
The following is a DFT calculation (GGA-PBE) of a relaxed AgSnHg2S4 crystal.

Cell lengths 6.8525, 7.4347, 8.4739 Å; angles 90.00, 90.00, 90.00 degrees
Sites, in units of the cell vectors:
Ag: 0.4965 0.8438 0.0000
Ag: 0.9965 0.1562 0.5000
Hg: 0.4979 0.3358 0.2521
Hg: 0.4979 0.3358 0.7479
Hg: 0.9979 0.6642 0.7521
Hg: 0.9979 0.6642 0.2479
S: 0.8825 0.3308 0.2542
S: 0.8756 0.8379 0.0000
S: 0.8720 0.8315 0.5000
S: 0.3825 0.6692 0.7542
S: 0.3825 0.6692 0.2458
S: 0.3756 0.1621 0.5000
S: 0.8825 0.3308 0.7458
S: 0.3720 0.1685 0.0000
Sn: 0.4950 0.8303 0.5000
Sn: 0.9950 0.1697 0.0000

Summary:
N(E_F)   0.52 states/eV/atom
Formation energy without anion corrections   -0.147 eV per atom
Symmetry   Pmn2_1, No. 31

---

Entry 2:
The following is a DFT calculation (GGA-PBE) of a relaxed Al2Bi2Sb crystal.

Cell lengths 7.7301, 7.7301, 4.3058 Å; angles 90.00, 90.00, 90.00 degrees
Sites, in units of the cell vectors:
Sb: 0.0000 0.0000 0.0000
Sb: 0.5000 0.5000 0.0000
Al: 0.6238 0.1238 0.0000
Al: 0.3762 0.8762 0.0000
Al: 0.8762 0.6238 0.0000
Al: 0.1238 0.3762 0.0000
Bi: 0.8191 0.3191 0.5000
Bi: 0.6809 0.8191 0.5000
Bi: 0.3191 0.1809 0.5000
Bi: 0.1809 0.6809 0.5000

Summary:
N(E_F)   0.42 states/eV/atom
Energy above the most stable polymorph in this dataset   10.8 meV per atom
Formation energy without anion corrections   0.231 eV per atom
Symmetry   P4/mbm, No. 127

---

Entry 3:
The following is a DFT calculation (GGA-PBE) of a relaxed Zr4Sc5Cd crystal.

Cell lengths 3.2237, 3.2237, 22.3568 Å; angles 90.00, 90.00, 90.00 degrees
Sites, in units of the cell vectors:
Sc: 0.5000 0.5000 0.2980
Sc: 0.5000 0.5000 0.0964
Sc: 0.5000 0.5000 0.5000
Sc: 0.5000 0.5000 0.7020
Sc: 0.5000 0.5000 0.9036
Cd: 0.0000 0.0000 0.0000
Zr: 0.0000 0.0000 0.8067
Zr: 0.0000 0.0000 0.3981
Zr: 0.0000 0.0000 0.1933
Zr: 0.0000 0.0000 0.6019

Summary:
Formation energy   -57 meV per atom
N(E_F)   1.25 states/eV/atom
Symmetry   P4/mmm, No. 123

---

no.,final energy (eV per atom)
1,-3.1431
2,-3.6431
3,-6.7336